# GGA-PBE La4TbY7, optimized geometry
# Density of states at the Fermi level: 42.58 states/eV per cell
# Energy of formation from the pure elements: 0.27 eV/atom
data_La4TbY7
_cell_length_a 12.141
_cell_length_b 5.961
_cell_length_c 13.015
_cell_angle_alpha 90.00
_cell_angle_beta 116.26
_cell_angle_gamma 90.00
_space_group_name_H-M_alt 'C 1 2/m 1'
_space_group_IT_number 12
_space_group_name_Hall '-C 2y'
loop_
_atom_site_label
_atom_site_type_symbol
_atom_site_fract_x
_atom_site_fract_y
_atom_site_fract_z
La1 La 0.093 0.000 0.287
La2 La 0.135 0.500 0.775
Tb1 Tb 0.000 0.500 0.000
Y1 Y 0.000 0.000 0.000
Y2 Y 0.133 0.500 0.485
Y3 Y 0.160 0.000 0.629
Y4 Y 0.211 0.000 0.916